[1]
! LiScTa2, optimized geometry, DFT PBE-GGA; values from VASP
&SYSTEM
  ibrav = 0, nat = 4, ntyp = 3
/
ATOMIC_SPECIES
Li 6.94 Li.upf
Sc 44.96 Sc.upf
Ta 180.95 Ta.upf
CELL_PARAMETERS angstrom
3.4439 0.0000 0.0000
0.0000 3.4439 0.0000
0.0000 0.0000 6.6104
ATOMIC_POSITIONS crystal
Li 0.0000 0.0000 0.4785
Sc 0.5000 0.5000 0.7630
Ta 0.0000 0.0000 0.0341
Ta 0.5000 0.5000 0.2244
! Calculated formation energy (eV/atom): 0.2719
! Calculated total energy (eV/cell): -30.86
! Relative energy among the computed polymorphs (meV per atom): 55.3
! Magnetic moment (μB per cell): 0.0

***

[2]
! LiScTa2, optimized geometry, DFT PBE-GGA; values from VASP
&SYSTEM
  ibrav = 0, nat = 4, ntyp = 3
/
ATOMIC_SPECIES
Li 6.94 Li.upf
Sc 44.96 Sc.upf
Ta 180.95 Ta.upf
CELL_PARAMETERS angstrom
-0.4212 1.1726 2.5259
3.9878 -2.1161 1.6474
2.9985 4.4366 -1.5596
ATOMIC_POSITIONS crystal
Li 0.5000 0.5000 0.2500
Sc 0.5000 0.5000 0.7500
Ta 0.0000 0.0000 0.9933
Ta 0.0000 0.0000 0.5067
! Calculated formation energy (eV/atom): 0.4075
! Calculated total energy (eV/cell): -30.32
! Relative energy among the computed polymorphs (meV per atom): 190.9
! Magnetic moment (μB per cell): 0.0

***

[3]
! LiScTa2, optimized geometry, DFT PBE-GGA; values from VASP
&SYSTEM
  ibrav = 0, nat = 4, ntyp = 3
/
ATOMIC_SPECIES
Li 6.94 Li.upf
Sc 44.96 Sc.upf
Ta 180.95 Ta.upf
CELL_PARAMETERS angstrom
5.0623 0.0000 0.0000
0.0000 2.8533 0.0107
0.0000 1.0753 5.1832
ATOMIC_POSITIONS crystal
Li 0.5000 0.2500 0.2500
Sc 0.5000 0.7500 0.7500
Ta 0.0000 0.0826 0.0110
Ta 0.0000 0.4174 0.4890
! Calculated formation energy (eV/atom): 0.3026
! Calculated total energy (eV/cell): -30.74
! Relative energy among the computed polymorphs (meV per atom): 86.0
! Magnetic moment (μB per cell): 0.0

***

[4]
! LiScTa2, optimized geometry, DFT PBE-GGA; values from VASP
&SYSTEM
  ibrav = 0, nat = 4, ntyp = 3
/
ATOMIC_SPECIES
Li 6.94 Li.upf
Sc 44.96 Sc.upf
Ta 180.95 Ta.upf
CELL_PARAMETERS angstrom
5.5878 0.0000 0.0059
2.4172 5.0379 -0.0059
-3.2652 -3.6905 2.6348
ATOMIC_POSITIONS crystal
Li 0.5054 0.5054 0.0000
Sc 0.2638 0.7638 0.5000
Ta 0.9870 0.9870 0.0000
Ta 0.7437 0.2437 0.5000
! Calculated formation energy (eV/atom): 0.4115
! Calculated total energy (eV/cell): -30.30
! Relative energy among the computed polymorphs (meV per atom): 194.9
! Magnetic moment (μB per cell): 0.0

***

[5]
! LiScTa2, optimized geometry, DFT PBE-GGA; values from VASP
&SYSTEM
  ibrav = 0, nat = 4, ntyp = 3
/
ATOMIC_SPECIES
Li 6.94 Li.upf
Sc 44.96 Sc.upf
Ta 180.95 Ta.upf
CELL_PARAMETERS angstrom
2.7932 0.0241 0.0000
-0.9109 2.6406 0.0000
0.0000 0.0000 10.3149
ATOMIC_POSITIONS crystal
Li 0.5000 0.5000 0.2500
Sc 0.5000 0.5000 0.7500
Ta 0.0000 0.0000 0.9976
Ta 0.0000 0.0000 0.5024
! Calculated formation energy (eV/atom): 0.3353
! Calculated total energy (eV/cell): -30.61
! Relative energy among the computed polymorphs (meV per atom): 118.7
! Magnetic moment (μB per cell): 0.0

***

[6]
! Li2ScTa2, optimized geometry, DFT PBE-GGA; values from VASP
&SYSTEM
  ibrav = 0, nat = 10, ntyp = 3
/
ATOMIC_SPECIES
Sc 44.96 Sc.upf
Li 6.94 Li.upf
Ta 180.95 Ta.upf
CELL_PARAMETERS angstrom
8.0480 0.0000 0.0000
0.0000 8.0480 0.0000
0.0000 0.0000 2.8056
ATOMIC_POSITIONS crystal
Sc 0.0000 0.0000 0.0000
Sc 0.5000 0.5000 0.0000
Li 0.1824 0.6824 0.5000
Li 0.6824 0.8176 0.5000
Li 0.8176 0.3176 0.5000
Li 0.3176 0.1824 0.5000
Ta 0.3860 0.8860 0.0000
Ta 0.8860 0.6140 0.0000
Ta 0.6140 0.1140 0.0000
Ta 0.1140 0.3860 0.0000
! Calculated formation energy (eV/atom): 0.6118
! Calculated total energy (eV/cell): -61.61
! Relative energy among the computed polymorphs (meV per atom): 0.0
! Magnetic moment (μB per cell): 0.6

***

Question: What is the calculated formation energy in the third record?
Answer: 0.3026 eV/atom

***

Question: Which of these has the highest calculated total energy?
Answer: number 4

***

What did the fifth record say?
! LiScTa2, optimized geometry, DFT PBE-GGA; values from VASP
&SYSTEM
  ibrav = 0, nat = 4, ntyp = 3
/
ATOMIC_SPECIES
Li 6.94 Li.upf
Sc 44.96 Sc.upf
Ta 180.95 Ta.upf
CELL_PARAMETERS angstrom
2.7932 0.0241 0.0000
-0.9109 2.6406 0.0000
0.0000 0.0000 10.3149
ATOMIC_POSITIONS crystal
Li 0.5000 0.5000 0.2500
Sc 0.5000 0.5000 0.7500
Ta 0.0000 0.0000 0.9976
Ta 0.0000 0.0000 0.5024
! Calculated formation energy (eV/atom): 0.3353
! Calculated total energy (eV/cell): -30.61
! Relative energy among the computed polymorphs (meV per atom): 118.7
! Magnetic moment (μB per cell): 0.0